Entry 1:
A relaxed TiCd crystal, computed with PBE.

- total moment (μB/f.u.) = 1.82
- calculated formation energy (eV per atom) = 1.41
- density of states at the Fermi level (states/eV/atom) = 1.0744

Lattice parameters (Å, degrees): 6.255 6.255 6.255 90.00 90.00 90.00
Each line ends with the local moment (μB).
Fractional coordinates of all 8 atoms:
Ti: 0.250 0.250 0.250  1.36
Ti: 0.250 0.750 0.750  1.36
Ti: 0.750 0.250 0.750  1.36
Ti: 0.750 0.750 0.250  1.36
Cd: 0.000 0.000 0.000  0.07
Cd: 0.000 0.500 0.500  0.07
Cd: 0.500 0.000 0.500  0.07
Cd: 0.500 0.500 0.000  0.07

***

Entry 2:
A relaxed Ti3Cd crystal, computed with PBE.

- total moment (μB/f.u.) = 0.00
- calculated formation energy (eV per atom) = 0.08
- density of states at the Fermi level (states/eV/atom) = 1.4096

Lattice parameters (Å, degrees): 2.906 5.163 5.649 117.19 104.91 90.00
Fractional coordinates of all 4 atoms:
Ti: 0.251 0.587 0.503
Ti: 0.500 0.490 0.000
Ti: 0.749 0.084 0.497
Cd: 0.000 0.005 0.000

***

Entry 3:
A relaxed Ti3Cd crystal, computed with PBE.

- total moment (μB/f.u.) = 0.00
- calculated formation energy (eV per atom) = 0.04
- density of states at the Fermi level (states/eV/atom) = 1.1905

Lattice parameters (Å, degrees): 4.074 4.074 5.177 113.17 113.17 90.00
Fractional coordinates of all 4 atoms:
Ti: 0.750 0.250 0.500
Ti: 0.250 0.750 0.500
Ti: 0.500 0.500 0.000
Cd: 0.000 0.000 0.000

***

Entry 4:
A relaxed TiCd crystal, computed with PBE.

- total moment (μB/f.u.) = 0.00
- calculated formation energy (eV per atom) = 0.00
- density of states at the Fermi level (states/eV/atom) = 0.5397

Lattice parameters (Å, degrees): 3.048 3.049 9.867 80.83 80.83 59.69
Fractional coordinates of all 4 atoms:
Ti: 0.703 0.704 0.890
Ti: 0.297 0.296 0.110
Cd: 0.120 0.121 0.635
Cd: 0.880 0.879 0.365

***

Entry 5:
A relaxed TiCd crystal, computed with PBE.

- total moment (μB/f.u.) = 2.07
- calculated formation energy (eV per atom) = 1.51
- density of states at the Fermi level (states/eV/atom) = 1.3133

Lattice parameters (Å, degrees): 7.738 7.738 7.738 90.00 90.00 90.00
Each line ends with the local moment (μB).
Fractional coordinates of all 12 atoms:
Ti: 0.250 0.500 0.000  1.46
Ti: 0.750 0.500 0.000  1.46
Ti: 0.500 0.000 0.250  1.46
Ti: 0.500 0.000 0.750  1.46
Ti: 0.000 0.250 0.500  1.46
Ti: 0.000 0.750 0.500  1.46
Cd: 0.250 0.000 0.500  0.09
Cd: 0.750 0.000 0.500  0.09
Cd: 0.000 0.500 0.250  0.09
Cd: 0.000 0.500 0.750  0.09
Cd: 0.500 0.250 0.000  0.09
Cd: 0.500 0.750 0.000  0.09

***

Entry 6:
A relaxed TiCd crystal, computed with PBE.

- total moment (μB/f.u.) = 0.00
- calculated formation energy (eV per atom) = 0.06
- density of states at the Fermi level (states/eV/atom) = 1.3429

Lattice parameters (Å, degrees): 10.487 10.487 2.970 90.00 90.00 90.00
Fractional coordinates of all 16 atoms:
Ti: 0.451 0.147 0.000
Ti: 0.549 0.853 0.000
Ti: 0.853 0.451 0.000
Ti: 0.147 0.549 0.000
Ti: 0.951 0.647 0.500
Ti: 0.049 0.353 0.500
Ti: 0.353 0.951 0.500
Ti: 0.647 0.049 0.500
Cd: 0.122 0.833 0.000
Cd: 0.878 0.167 0.000
Cd: 0.167 0.122 0.000
Cd: 0.833 0.878 0.000
Cd: 0.622 0.333 0.500
Cd: 0.378 0.667 0.500
Cd: 0.667 0.622 0.500
Cd: 0.333 0.378 0.500